# YZnCl3 PBE relaxed
data_YZnCl3
_cell_length_a 4.9288
_cell_length_b 4.9288
_cell_length_c 4.9288
_cell_angle_alpha 90.00
_cell_angle_beta 90.00
_cell_angle_gamma 90.00
_symmetry_space_group_name_H-M 'P m -3 m'
_symmetry_Int_Tables_number 221
_symmetry_space_group_name_Hall '-P 4 2 3'
loop_
_atom_site_label
_atom_site_fract_x
_atom_site_fract_y
_atom_site_fract_z
Y1 0.0000 0.0000 0.0000
Zn1 0.5000 0.5000 0.5000
Cl1 0.0000 0.5000 0.5000
# total energy: -3.337 eV per atom
# total moment: 1.47 μB per cell

# Y2ZnCl PBE relaxed
data_Y2ZnCl
_cell_length_a 7.4635
_cell_length_b 7.4635
_cell_length_c 7.4635
_cell_angle_alpha 90.00
_cell_angle_beta 90.00
_cell_angle_gamma 90.00
_symmetry_space_group_name_H-M 'F -4 3 m'
_symmetry_Int_Tables_number 216
_symmetry_space_group_name_Hall 'F -4 2 3'
loop_
_atom_site_label
_atom_site_fract_x
_atom_site_fract_y
_atom_site_fract_z
Y1 0.0000 0.0000 0.0000
Y2 0.2500 0.2500 0.2500
Zn1 0.0000 0.0000 0.5000
Cl1 0.2500 0.2500 0.7500
# total energy: -3.843 eV per atom
# total moment: 7.90 μB per cell

# YZnCl6 PBE relaxed
data_YZnCl6
_cell_length_a 6.3883
_cell_length_b 6.3902
_cell_length_c 6.9237
_cell_angle_alpha 90.13
_cell_angle_beta 117.22
_cell_angle_gamma 119.96
_symmetry_space_group_name_H-M 'P -1'
_symmetry_Int_Tables_number 2
loop_
_symmetry_equiv_pos_as_xyz
'x,y,z'
'-x,-y,-z'
loop_
_atom_site_label
_atom_site_fract_x
_atom_site_fract_y
_atom_site_fract_z
Y1 0.0000 0.0000 0.0000
Zn1 0.0000 0.5000 0.5000
Cl1 0.1579 0.4220 0.2580
Cl2 0.1613 0.2617 0.7398
Cl3 0.4788 0.8989 0.7419
# total energy: -3.705 eV per atom
# total moment: 1.08 μB per cell

# YZr2Cl PBE relaxed
data_YZr2Cl
_cell_length_a 4.0354
_cell_length_b 4.0354
_cell_length_c 5.9854
_cell_angle_alpha 90.00
_cell_angle_beta 90.00
_cell_angle_gamma 90.00
_symmetry_space_group_name_H-M 'P 4/m m m'
_symmetry_Int_Tables_number 123
_symmetry_space_group_name_Hall '-P 4 2'
loop_
_atom_site_label
_atom_site_fract_x
_atom_site_fract_y
_atom_site_fract_z
Y1 0.0000 0.0000 0.0000
Zr1 0.0000 0.5000 0.5000
Cl1 0.5000 0.5000 0.0000
# total energy: -6.320 eV per atom
# total moment: 0.00 μB per cell

# YZr2Cl PBE relaxed
data_YZr2Cl
_cell_length_a 3.2231
_cell_length_b 5.0689
_cell_length_c 5.9683
_cell_angle_alpha 90.00
_cell_angle_beta 90.00
_cell_angle_gamma 90.00
_symmetry_space_group_name_H-M 'P m m m'
_symmetry_Int_Tables_number 47
loop_
_symmetry_equiv_pos_as_xyz
'x,y,z'
'-x,-y,-z'
'-x,-y,z'
'x,y,-z'
'x,-y,-z'
'-x,y,z'
'-x,y,-z'
'x,-y,z'
loop_
_atom_site_label
_atom_site_fract_x
_atom_site_fract_y
_atom_site_fract_z
Y1 0.0000 0.0000 0.0000
Zr1 0.0000 0.5000 0.5000
Zr2 0.5000 0.0000 0.5000
Cl1 0.5000 0.5000 0.0000
# total energy: -6.463 eV per atom
# total moment: 0.00 μB per cell

# YZr3Cl PBE relaxed
data_YZr3Cl
_cell_length_a 4.9359
_cell_length_b 4.9359
_cell_length_c 4.9359
_cell_angle_alpha 90.00
_cell_angle_beta 90.00
_cell_angle_gamma 90.00
_symmetry_space_group_name_H-M 'P m -3 m'
_symmetry_Int_Tables_number 221
_symmetry_space_group_name_Hall '-P 4 2 3'
loop_
_atom_site_label
_atom_site_fract_x
_atom_site_fract_y
_atom_site_fract_z
Y1 0.0000 0.0000 0.0000
Zr1 0.0000 0.5000 0.5000
Cl1 0.5000 0.5000 0.5000
# total energy: -6.965 eV per atom
# total moment: 0.00 μB per cell

# YZr2Cl PBE relaxed
data_YZr2Cl
_cell_length_a 3.2218
_cell_length_b 5.9318
_cell_length_c 10.2301
_cell_angle_alpha 90.00
_cell_angle_beta 90.00
_cell_angle_gamma 90.00
_symmetry_space_group_name_H-M 'I m m 2'
_symmetry_Int_Tables_number 44
loop_
_symmetry_equiv_pos_as_xyz
'x,y,z'
'-x,-y,z'
'-x,y,z'
'x,-y,z'
'x+1/2,y+1/2,z+1/2'
'-x+1/2,-y+1/2,z+1/2'
'-x+1/2,y+1/2,z+1/2'
'x+1/2,-y+1/2,z+1/2'
loop_
_atom_site_label
_atom_site_fract_x
_atom_site_fract_y
_atom_site_fract_z
Y1 0.0000 0.0000 0.0000
Zr1 0.0000 0.0000 0.5577
Zr2 0.0000 0.5000 0.8034
Cl1 0.0000 0.5000 0.2692
# total energy: -6.478 eV per atom
# total moment: 0.02 μB per cell

# YZr2Cl PBE relaxed
data_YZr2Cl
_cell_length_a 3.3326
_cell_length_b 5.5041
_cell_length_c 5.5236
_cell_angle_alpha 90.00
_cell_angle_beta 90.00
_cell_angle_gamma 90.00
_symmetry_space_group_name_H-M 'P m m m'
_symmetry_Int_Tables_number 47
loop_
_symmetry_equiv_pos_as_xyz
'x,y,z'
'-x,-y,-z'
'-x,-y,z'
'x,y,-z'
'x,-y,-z'
'-x,y,z'
'-x,y,-z'
'x,-y,z'
loop_
_atom_site_label
_atom_site_fract_x
_atom_site_fract_y
_atom_site_fract_z
Y1 0.0000 0.0000 0.0000
Zr1 0.5000 0.5000 0.2353
Cl1 0.0000 0.0000 0.5000
# total energy: -6.346 eV per atom
# total moment: 0.00 μB per cell

| no. | V (Å³/cell) |
| --- | --- |
| 1 | 119.7 |
| 2 | 415.7 |
| 3 | 207.8 |
| 4 | 97.5 |
| 5 | 97.5 |
| 6 | 120.3 |
| 7 | 195.5 |
| 8 | 101.3 |